[1]
Computed, not measured: an optimized crystal structure of CuTc2Ni at the PBE level of DFT.

Geometry as CIF:
```
data_CuTc2Ni
_chemical_formula_sum 'Cu1 Tc2 Ni1'
_space_group_name_H-M_alt 'P 1'
_space_group_IT_number 1
_space_group_name_Hall 'P 1'
_cell_length_a 4.730
_cell_length_b 4.730
_cell_length_c 2.555
_cell_angle_alpha 90.03
_cell_angle_beta 90.03
_cell_angle_gamma 114.44
loop_
_atom_site_label
_atom_site_fract_x
_atom_site_fract_y
_atom_site_fract_z
_atom_site_occupancy
Cu1 0.500 0.000 0.500 1
Tc1 0.500 0.500 0.000 1
Tc2 0.000 0.000 0.000 1
Ni1 0.000 0.500 0.500 1
```

Properties
Energy relative to the elements in eV/atom: 0.156
SG: Cmmm (65)
Density in Mg/m³: 10.154
Relative energy among the computed polymorphs in meV/atom: 55.9
Density of states at the Fermi level in states/eV/cell: 4.01

[2]
Computed, not measured: an optimized crystal structure of GdHoOs at the PBE level of DFT.

Geometry as CIF:
```
data_GdHoOs
_chemical_formula_sum 'Gd1 Ho1 Os1'
_space_group_name_H-M_alt 'P 1'
_space_group_IT_number 1
_space_group_name_Hall 'P 1'
_cell_length_a 4.786
_cell_length_b 4.786
_cell_length_c 4.786
_cell_angle_alpha 60.00
_cell_angle_beta 60.00
_cell_angle_gamma 60.00
loop_
_atom_site_label
_atom_site_fract_x
_atom_site_fract_y
_atom_site_fract_z
_atom_site_occupancy
Gd1 0.500 0.500 0.500 1
Ho1 0.000 0.000 0.000 1
Os1 0.250 0.250 0.250 1
```

Properties
Energy relative to the elements in eV/atom: -0.198
SG: F-43m (216)
Density in Mg/m³: 10.974
Relative energy among the computed polymorphs in meV/atom: 19.6
Density of states at the Fermi level in states/eV/cell: 1.57

[3]
Computed, not measured: an optimized crystal structure of Ba2PrMo2N6 at the PBE level of DFT.

Geometry as CIF:
```
data_Ba2PrMo2N6
_chemical_formula_sum 'Ba2 Pr1 Mo2 N6'
_space_group_name_H-M_alt 'P 1'
_space_group_IT_number 1
_space_group_name_Hall 'P 1'
_cell_length_a 6.286
_cell_length_b 6.337
_cell_length_c 7.319
_cell_angle_alpha 117.29
_cell_angle_beta 90.00
_cell_angle_gamma 119.73
loop_
_atom_site_label
_atom_site_fract_x
_atom_site_fract_y
_atom_site_fract_z
_atom_site_occupancy
Mo1 0.962 0.924 0.786 1
Mo2 0.038 0.076 0.214 1
Pr1 0.500 0.000 0.500 1
N1 0.703 0.887 0.212 1
N2 0.297 0.113 0.788 1
N3 0.764 0.529 0.613 1
N4 0.236 0.471 0.387 1
N5 0.183 0.887 0.212 1
N6 0.817 0.113 0.788 1
Ba1 0.709 0.418 0.176 1
Ba2 0.291 0.582 0.824 1
```

Properties
Formation energy from raw total energies in eV per formula unit: -7.06
SG: C2/m (12)
Density in Mg/m³: 5.341
Density of states at the Fermi level in states/eV/cell: 4.70

[4]
Computed, not measured: an optimized crystal structure of YAlCr at the PBE level of DFT.

Geometry as CIF:
```
data_YAlCr
_chemical_formula_sum 'Y1 Al1 Cr1'
_space_group_name_H-M_alt 'P 1'
_space_group_IT_number 1
_space_group_name_Hall 'P 1'
_cell_length_a 3.346
_cell_length_b 3.346
_cell_length_c 6.753
_cell_angle_alpha 90.00
_cell_angle_beta 90.00
_cell_angle_gamma 120.00
loop_
_atom_site_label
_atom_site_fract_x
_atom_site_fract_y
_atom_site_fract_z
_atom_site_occupancy
Y1 0.333 0.667 0.667 1
Al1 0.000 0.000 0.030 1
Cr1 0.667 0.333 0.303 1
```

Properties
Energy relative to the elements in eV/atom: 0.384
SG: P3m1 (156)
Density in Mg/m³: 4.257
Density of states at the Fermi level in states/eV/cell: 2.86

[5]
Computed, not measured: an optimized crystal structure of CaMgCl3 at the PBE level of DFT.

Geometry as CIF:
```
data_CaMgCl3
_chemical_formula_sum 'Ca1 Mg1 Cl3'
_space_group_name_H-M_alt 'P 1'
_space_group_IT_number 1
_space_group_name_Hall 'P 1'
_cell_length_a 5.356
_cell_length_b 5.356
_cell_length_c 5.356
_cell_angle_alpha 90.00
_cell_angle_beta 90.00
_cell_angle_gamma 90.00
loop_
_atom_site_label
_atom_site_fract_x
_atom_site_fract_y
_atom_site_fract_z
_atom_site_occupancy
Cl1 0.000 0.500 0.000 1
Cl2 0.500 0.000 0.000 1
Cl3 0.000 0.000 0.500 1
Mg1 0.500 0.500 0.500 1
Ca1 0.000 0.000 0.000 1
```

Properties
Formation energy from raw total energies in eV per formula unit: -7.58
SG: Pm-3m (221)
Density in Mg/m³: 1.845
Relative energy among the computed polymorphs in meV/atom: 0.0
Density of states at the Fermi level in states/eV/cell: 0.78

[6]
Computed, not measured: an optimized crystal structure of BeGa2Cu6 at the PBE level of DFT.

Geometry as CIF:
```
data_BeGa2Cu6
_chemical_formula_sum 'Be2 Ga4 Cu12'
_space_group_name_H-M_alt 'P 1'
_space_group_IT_number 1
_space_group_name_Hall 'P 1'
_cell_length_a 3.883
_cell_length_b 7.509
_cell_length_c 7.511
_cell_angle_alpha 90.00
_cell_angle_beta 90.00
_cell_angle_gamma 90.00
loop_
_atom_site_label
_atom_site_fract_x
_atom_site_fract_y
_atom_site_fract_z
_atom_site_occupancy
Cu1 0.000 0.670 0.532 1
Cu2 0.000 0.374 0.125 1
Cu3 0.500 0.170 0.968 1
Cu4 0.000 0.030 0.169 1
Cu5 0.000 0.970 0.831 1
Cu6 0.000 0.330 0.468 1
Cu7 0.500 0.126 0.625 1
Cu8 0.500 0.470 0.669 1
Cu9 0.500 0.530 0.331 1
Cu10 0.500 0.874 0.375 1
Cu11 0.000 0.626 0.875 1
Cu12 0.500 0.830 0.032 1
Ga1 0.500 0.799 0.702 1
Ga2 0.000 0.299 0.798 1
Ga3 0.500 0.201 0.298 1
Ga4 0.000 0.701 0.202 1
Be1 0.000 0.000 0.500 1
Be2 0.500 0.500 0.000 1
```

Properties
Energy relative to the elements in eV/atom: -0.072
SG: Pnnm (58)
Density in Mg/m³: 8.032
Density of states at the Fermi level in states/eV/cell: 1.54

Q: Among the records above, which one has the highest density?
A: GdHoOs

Repeat the fourth record exactly.
Computed, not measured: an optimized crystal structure of YAlCr at the PBE level of DFT.

Geometry as CIF:
```
data_YAlCr
_chemical_formula_sum 'Y1 Al1 Cr1'
_space_group_name_H-M_alt 'P 1'
_space_group_IT_number 1
_space_group_name_Hall 'P 1'
_cell_length_a 3.346
_cell_length_b 3.346
_cell_length_c 6.753
_cell_angle_alpha 90.00
_cell_angle_beta 90.00
_cell_angle_gamma 120.00
loop_
_atom_site_label
_atom_site_fract_x
_atom_site_fract_y
_atom_site_fract_z
_atom_site_occupancy
Y1 0.333 0.667 0.667 1
Al1 0.000 0.000 0.030 1
Cr1 0.667 0.333 0.303 1
```

Properties
Energy relative to the elements in eV/atom: 0.384
SG: P3m1 (156)
Density in Mg/m³: 4.257
Density of states at the Fermi level in states/eV/cell: 2.86

Q: density of number 6 (BeGa2Cu6)?
A: 8.032 Mg/m³